ScAg2Sb | PBE-GGA | optimized geometry

* formation energy (no corrections): 0.0399 eV/atom
* electronic total energy: -3.999 eV/atom
* crystal system: trigonal
* DOS(E_F): 2.87 states/eV/cell

a = 9.2171 Å, b = 9.2171 Å, c = 9.2171 Å
α = 21.20°, β = 21.20°, γ = 21.20°
Element x y z (fractional)
Sb1 0.2500 0.2500 0.2500
Ag1 0.0036 0.0036 0.0036
Ag2 0.4964 0.4964 0.4964
Sc1 0.7500 0.7500 0.7500